LaCoO3: relaxed, PBE with a Hubbard U.

Unit cell a=4.4263 b=4.4263 c=4.4263 alpha=90.00 beta=90.00 gamma=90.00
Last column: nearest neighbours and their distance in Å.
Sites, in units of the cell vectors:
La 0.0000 0.0000 0.0000  6 O 2.21
Co 0.5000 0.5000 0.5000  12 O 3.13
O 0.0000 0.0000 0.5000  2 La 2.21
O 0.0000 0.5000 0.0000  2 La 2.21
O 0.5000 0.0000 0.0000  2 La 2.21

Output
Crystal system   cubic
Raw total energy   -29.086 eV for the cell shown
Theoretical density   4.71 g/cm3
Symmetry   No. 221